This record from Alexandria describes a relaxed Ni3AgN crystal. The functional is PBE.

Lattice parameters (Å, degrees): 3.585 3.585 6.294 90.00 90.00 90.00
Fractional coordinates of all 5 atoms:
1 N 0.500 0.500 0.465
2 Ag 0.000 0.000 0.133
3 Ni 0.500 0.000 0.467
4 Ni 0.000 0.500 0.467
5 Ni 0.000 0.000 0.732

Values from the calculation:
The calculation puts the size of the total moment at 1.0 μB/cell. The space group is No. 99. The calculation puts the uncorrected formation energy at 0.590 eV/atom. The value obtained for the energy above the most stable polymorph in this dataset is 563 meV per atom. The crystal system is tetragonal.